DFT (PBE) results for crystalline RbPtAuBr2 at its relaxed geometry.

Computed properties:
Formation energy (no corrections) = -72.6 meV per atom
Density of states at the Fermi level = 6.236 states/eV/cell

Cell: 5.418 5.418 5.203 Å, 90.00 90.00 90.00°
Atoms (fractional coordinates):
Rb (0.000, 0.000, 0.000)
Pt (0.500, 0.500, 0.000)
Au (0.500, 0.500, 0.500)
Br (0.000, 0.500, 0.500)
Br (0.500, 0.000, 0.500)


DFT (PBE) results for crystalline LaBi3Au3 at its relaxed geometry.

Computed properties:
Formation energy from the elements = 0.0531 eV per atom
Density of states at the Fermi level = 11.164 states/eV/cell

Cell: 7.800 7.800 7.800 Å, 90.00 90.00 90.00°
Atoms (fractional coordinates):
La (0.000, 0.000, 0.000)
La (0.500, 0.500, 0.500)
Bi (0.000, 0.250, 0.500)
Bi (0.000, 0.750, 0.500)
Bi (0.250, 0.500, 0.000)
Bi (0.500, 0.000, 0.250)
Bi (0.500, 0.000, 0.750)
Bi (0.750, 0.500, 0.000)
Au (0.000, 0.500, 0.250)
Au (0.000, 0.500, 0.750)
Au (0.250, 0.000, 0.500)
Au (0.500, 0.250, 0.000)
Au (0.500, 0.750, 0.000)
Au (0.750, 0.000, 0.500)


DFT (PBE) results for crystalline LaSmCd at its relaxed geometry.

Computed properties:
Formation energy from the elements = -0.1991 eV per atom
Density of states at the Fermi level = 6.899 states/eV/cell
Energy relative to the lowest polymorph listed for this composition = 0.00 eV/f.u.

Cell: 3.804 3.804 13.041 Å, 90.00 90.00 90.00°
Atoms (fractional coordinates):
La (0.000, 0.000, 0.000)
La (0.500, 0.500, 0.500)
Sm (0.000, 0.000, 0.692)
Sm (0.500, 0.500, 0.192)
Cd (0.000, 0.000, 0.337)
Cd (0.500, 0.500, 0.837)


DFT (PBE) results for crystalline NbCr3Cu2S8 at its relaxed geometry.

Computed properties:
Formation energy (no corrections) = -627.2 meV per atom
Density of states at the Fermi level = 4.279 states/eV/cell
Energy relative to the lowest polymorph listed for this composition = 0.92 eV/f.u.

Cell: 6.033 6.931 12.491 Å, 90.15 98.38 90.23°
Atoms (fractional coordinates):
Nb (0.000, 0.000, 0.000)
Nb (0.111, 0.227, 0.500)
Cr (0.047, 0.483, 0.005)
Cr (0.080, 0.749, 0.515)
Cr (0.552, 0.240, 0.001)
Cr (0.559, 0.742, 0.007)
Cr (0.576, 0.493, 0.509)
Cr (0.577, 0.995, 0.508)
Cu (0.012, 0.736, 0.297)
Cu (0.136, 0.253, 0.716)
Cu (0.486, 0.242, 0.222)
Cu (0.841, 0.744, 0.797)
S (0.187, 0.733, 0.901)
S (0.188, 0.242, 0.894)
S (0.283, 0.502, 0.620)
S (0.293, 0.990, 0.627)
S (0.373, 0.743, 0.404)
S (0.401, 0.243, 0.387)
S (0.406, 0.992, 0.108)
S (0.415, 0.491, 0.107)
S (0.656, 0.989, 0.879)
S (0.689, 0.496, 0.897)
S (0.772, 0.746, 0.615)
S (0.780, 0.243, 0.613)
S (0.869, 0.990, 0.393)
S (0.880, 0.499, 0.403)
S (0.907, 0.243, 0.122)
S (0.919, 0.731, 0.118)